Record 1
VASP calculation (PBE) on a relaxed Ca14Pa2Pt9 crystal.

Results
M_tot = 0.00 μB per formula unit
Uncorrected energy = -4.780 eV/atom
Energy of formation from the pure elements = -0.725 eV/atom
DOS(E_F) = 15.92 states/eV/f.u.

a = 8.620 Å, b = 8.620 Å, c = 11.474 Å
α = 90.00°, β = 90.00°, γ = 120.00°
Positions (direct):
Ca1 0.000 0.000 0.242
Ca2 0.000 0.000 0.758
Ca3 0.038 0.679 0.406
Ca4 0.082 0.398 0.100
Ca5 0.316 0.918 0.100
Ca6 0.321 0.359 0.406
Ca7 0.359 0.038 0.594
Ca8 0.398 0.316 0.900
Ca9 0.602 0.684 0.100
Ca10 0.641 0.962 0.406
Ca11 0.679 0.641 0.594
Ca12 0.684 0.082 0.900
Ca13 0.918 0.602 0.900
Ca14 0.962 0.321 0.594
Pa1 0.333 0.667 0.771
Pa2 0.667 0.333 0.229
Pt1 0.000 0.000 0.500
Pt2 0.063 0.354 0.844
Pt3 0.291 0.937 0.844
Pt4 0.333 0.667 0.540
Pt5 0.354 0.291 0.156
Pt6 0.646 0.709 0.844
Pt7 0.667 0.333 0.460
Pt8 0.709 0.063 0.156
Pt9 0.937 0.646 0.156

Record 2
VASP calculation (PBE) on a relaxed CaPaPtRh crystal.

Results
M_tot = 0.00 μB per formula unit
Uncorrected energy = -6.998 eV/atom
Energy of formation from the pure elements = -0.776 eV/atom
Distance to the lowest polymorph of the same formula = 0 meV/atom
DOS(E_F) = 4.74 states/eV/f.u.

a = 4.272 Å, b = 3.727 Å, c = 10.912 Å
α = 90.00°, β = 90.00°, γ = 90.00°
Positions (direct):
Ca1 0.000 0.000 0.000
Ca2 0.000 0.500 0.500
Pa1 0.500 0.000 0.274
Pa2 0.500 0.500 0.774
Pt1 0.500 0.000 0.556
Pt2 0.500 0.500 0.056
Rh1 0.000 0.000 0.737
Rh2 0.000 0.500 0.237

Record 3
VASP calculation (PBE) on a relaxed CaPaPtRh crystal.

Results
M_tot = 0.00 μB per formula unit
Uncorrected energy = -6.892 eV/atom
Energy of formation from the pure elements = -0.670 eV/atom
Distance to the lowest polymorph of the same formula = 106 meV/atom
DOS(E_F) = 5.13 states/eV/f.u.

a = 6.938 Å, b = 6.938 Å, c = 6.938 Å
α = 90.00°, β = 90.00°, γ = 90.00°
Positions (direct):
Ca1 0.000 0.000 0.000
Ca2 0.000 0.500 0.500
Ca3 0.500 0.000 0.500
Ca4 0.500 0.500 0.000
Pa1 0.000 0.000 0.500
Pa2 0.000 0.500 0.000
Pa3 0.500 0.000 0.000
Pa4 0.500 0.500 0.500
Pt1 0.250 0.250 0.250
Pt2 0.250 0.750 0.750
Pt3 0.750 0.250 0.750
Pt4 0.750 0.750 0.250
Rh1 0.250 0.250 0.750
Rh2 0.250 0.750 0.250
Rh3 0.750 0.250 0.250
Rh4 0.750 0.750 0.750

Record 4
VASP calculation (PBE) on a relaxed CaPaRuPt crystal.

Results
M_tot = 0.00 μB per formula unit
Uncorrected energy = -7.181 eV/atom
Energy of formation from the pure elements = -0.477 eV/atom
DOS(E_F) = 3.21 states/eV/f.u.

a = 6.899 Å, b = 6.899 Å, c = 6.899 Å
α = 90.00°, β = 90.00°, γ = 90.00°
Positions (direct):
Ca1 0.000 0.000 0.000
Ca2 0.000 0.500 0.500
Ca3 0.500 0.000 0.500
Ca4 0.500 0.500 0.000
Pa1 0.000 0.000 0.500
Pa2 0.000 0.500 0.000
Pa3 0.500 0.000 0.000
Pa4 0.500 0.500 0.500
Ru1 0.250 0.250 0.250
Ru2 0.250 0.750 0.750
Ru3 0.750 0.250 0.750
Ru4 0.750 0.750 0.250
Pt1 0.250 0.250 0.750
Pt2 0.250 0.750 0.250
Pt3 0.750 0.250 0.250
Pt4 0.750 0.750 0.750